The following is a GGA-PBE calculation of Mg2NiRu2 after structural relaxation, from Alexandria via LeMat-Bulk.

Structure (CIF):
```
data_Mg2NiRu2
_chemical_formula_sum 'Mg4 Ni2 Ru4'
_space_group_name_H-M_alt 'I 4/m m m'
_space_group_IT_number 139
_space_group_name_Hall '-I 4 2'
_cell_length_a 3.426
_cell_length_b 3.426
_cell_length_c 14.979
_cell_angle_alpha 90.00
_cell_angle_beta 90.00
_cell_angle_gamma 90.00
loop_
_atom_site_label
_atom_site_type_symbol
_atom_site_fract_x
_atom_site_fract_y
_atom_site_fract_z
_atom_site_occupancy
Mg1 Mg 0.000 0.000 0.096 1
Ni1 Ni 0.000 0.000 0.500 1
Ru1 Ru 0.000 0.500 0.250 1
```

## Properties
For the total moment, the calculation gives 0.00 μB per formula unit. Its calculated density is 5.8 Mg/m³. The formation energy is 0.44 eV/atom. The value obtained for the raw total energy is -5.069 eV per atom.